(1)
The following is a GGA-PBE calculation of a relaxed structure of Ba2HoTmSe4, from Alexandria via LeMat-Bulk.

## Properties
Magnetic moment, μB per formula unit: 0.00
Total DFT energy (no corrections), eV/cell: -41.653
E_form (uncorrected), eV per atom: -1.8526

Geometry as CIF:
```
data_Ba2HoTmSe4
_chemical_formula_sum 'Ba2 Ho1 Tm1 Se4'
_cell_length_a 7.357
_cell_length_b 4.261
_cell_length_c 7.787
_cell_angle_alpha 90.00
_cell_angle_beta 108.48
_cell_angle_gamma 90.00
_symmetry_space_group_name_H-M 'P 1'
_symmetry_Int_Tables_number 1
_symmetry_space_group_name_Hall 'P 1'
loop_
_atom_site_label
_atom_site_fract_x
_atom_site_fract_y
_atom_site_fract_z
Ba1 0.000 0.000 0.000
Ba2 0.500 0.500 0.000
Ho1 0.000 0.500 0.500
Tm1 0.500 0.000 0.500
Se1 0.238 0.000 0.709
Se2 0.266 0.500 0.292
Se3 0.734 0.500 0.708
Se4 0.762 0.000 0.291
```

=====

(2)
The following is a GGA-PBE calculation of a relaxed structure of Ba2HoZnSe5, from Alexandria via LeMat-Bulk.

## Properties
Magnetic moment, μB per formula unit: 0.00
Total DFT energy (no corrections), eV/cell: -81.982
E_form (uncorrected), eV per atom: -1.5413

Geometry as CIF:
```
data_Ba2HoZnSe5
_chemical_formula_sum 'Ba4 Ho2 Zn2 Se10'
_cell_length_a 9.695
_cell_length_b 9.695
_cell_length_c 13.255
_cell_angle_alpha 90.00
_cell_angle_beta 90.00
_cell_angle_gamma 154.55
_symmetry_space_group_name_H-M 'P 1'
_symmetry_Int_Tables_number 1
_symmetry_space_group_name_Hall 'P 1'
loop_
_atom_site_label
_atom_site_fract_x
_atom_site_fract_y
_atom_site_fract_z
Ba1 0.119 0.881 0.500
Ba2 0.126 0.874 0.134
Ba3 0.874 0.126 0.634
Ba4 0.881 0.119 0.000
Ho1 0.203 0.797 0.828
Ho2 0.797 0.203 0.328
Zn1 0.439 0.561 0.243
Zn2 0.561 0.439 0.743
Se1 0.048 0.952 0.842
Se2 0.299 0.701 0.471
Se3 0.309 0.691 0.180
Se4 0.350 0.650 0.819
Se5 0.499 0.501 0.582
Se6 0.501 0.499 0.082
Se7 0.650 0.350 0.319
Se8 0.691 0.309 0.680
Se9 0.701 0.299 0.971
Se10 0.952 0.048 0.342
```

=====

(3)
The following is a GGA-PBE calculation of a relaxed structure of Ba2HoZrSe6, from Alexandria via LeMat-Bulk.

## Properties
Magnetic moment, μB per formula unit: 0.00
Total DFT energy (no corrections), eV/cell: -107.540
E_form (uncorrected), eV per atom: -1.5891

Geometry as CIF:
```
data_Ba2HoZrSe6
_chemical_formula_sum 'Ba4 Ho2 Zr2 Se12'
_cell_length_a 7.625
_cell_length_b 10.763
_cell_length_c 7.603
_cell_angle_alpha 90.00
_cell_angle_beta 90.00
_cell_angle_gamma 90.00
_symmetry_space_group_name_H-M 'P 1'
_symmetry_Int_Tables_number 1
_symmetry_space_group_name_Hall 'P 1'
loop_
_atom_site_label
_atom_site_fract_x
_atom_site_fract_y
_atom_site_fract_z
Ba1 0.250 0.008 0.239
Ba2 0.250 0.492 0.239
Ba3 0.750 0.508 0.761
Ba4 0.750 0.992 0.761
Ho1 0.250 0.750 0.753
Ho2 0.750 0.250 0.247
Zr1 0.250 0.250 0.745
Zr2 0.750 0.750 0.255
Se1 0.003 0.250 0.991
Se2 0.008 0.250 0.498
Se3 0.250 0.005 0.757
Se4 0.250 0.495 0.757
Se5 0.492 0.250 0.498
Se6 0.497 0.250 0.991
Se7 0.503 0.750 0.009
Se8 0.508 0.750 0.502
Se9 0.750 0.505 0.243
Se10 0.750 0.995 0.243
Se11 0.992 0.750 0.502
Se12 0.997 0.750 0.009
```

=====

(4)
The following is a GGA-PBE calculation of a relaxed structure of BaHoSi, from Alexandria via LeMat-Bulk.

## Properties
Magnetic moment, μB per formula unit: 0.00
Total DFT energy (no corrections), eV/cell: -26.331
E_form (uncorrected), eV per atom: -0.4140

Geometry as CIF:
```
data_BaHoSi
_chemical_formula_sum 'Ba2 Ho2 Si2'
_cell_length_a 5.032
_cell_length_b 5.032
_cell_length_c 7.688
_cell_angle_alpha 90.00
_cell_angle_beta 90.00
_cell_angle_gamma 90.00
_symmetry_space_group_name_H-M 'P 1'
_symmetry_Int_Tables_number 1
_symmetry_space_group_name_Hall 'P 1'
loop_
_atom_site_label
_atom_site_fract_x
_atom_site_fract_y
_atom_site_fract_z
Ba1 0.250 0.250 0.136
Ba2 0.750 0.750 0.864
Ho1 0.250 0.750 0.500
Ho2 0.750 0.250 0.500
Si1 0.250 0.250 0.692
Si2 0.750 0.750 0.308
```

=====

(5)
The following is a GGA-PBE calculation of a relaxed structure of BaSmHo, from Alexandria via LeMat-Bulk.

## Properties
Calculated formation energy, eV per atom: 0.185
Energy above the lowest structure with this stoichiometry, meV per atom: 9.8
Magnetic moment, μB per formula unit: 0.00
Total DFT energy (no corrections), eV/cell: -10.663

Geometry as CIF:
```
data_BaSmHo
_chemical_formula_sum 'Ba1 Sm1 Ho1'
_cell_length_a 3.781
_cell_length_b 3.781
_cell_length_c 9.402
_cell_angle_alpha 90.00
_cell_angle_beta 90.00
_cell_angle_gamma 120.00
_symmetry_space_group_name_H-M 'P 1'
_symmetry_Int_Tables_number 1
_symmetry_space_group_name_Hall 'P 1'
loop_
_atom_site_label
_atom_site_fract_x
_atom_site_fract_y
_atom_site_fract_z
Ba1 0.000 0.000 0.000
Sm1 0.333 0.667 0.640
Ho1 0.667 0.333 0.350
```

=====

(6)
The following is a GGA-PBE calculation of a relaxed structure of BaSmHo, from Alexandria via LeMat-Bulk.

## Properties
Calculated formation energy, eV per atom: 0.176
Energy above the lowest structure with this stoichiometry, meV per atom: 0.0
Magnetic moment, μB per formula unit: 0.00
Total DFT energy (no corrections), eV/cell: -21.386

Geometry as CIF:
```
data_BaSmHo
_chemical_formula_sum 'Ba2 Sm2 Ho2'
_cell_length_a 3.793
_cell_length_b 3.793
_cell_length_c 16.485
_cell_angle_alpha 90.00
_cell_angle_beta 90.00
_cell_angle_gamma 90.00
_symmetry_space_group_name_H-M 'P 1'
_symmetry_Int_Tables_number 1
_symmetry_space_group_name_Hall 'P 1'
loop_
_atom_site_label
_atom_site_fract_x
_atom_site_fract_y
_atom_site_fract_z
Ba1 0.000 0.000 0.000
Ba2 0.500 0.500 0.500
Sm1 0.000 0.000 0.317
Sm2 0.500 0.500 0.817
Ho1 0.000 0.000 0.681
Ho2 0.500 0.500 0.181
```

=====

(7)
The following is a GGA-PBE calculation of a relaxed structure of Ba3Sm2HoTe6, from Alexandria via LeMat-Bulk.

## Properties
Magnetic moment, μB per formula unit: 0.00
Total DFT energy (no corrections), eV/cell: -57.137
E_form (uncorrected), eV per atom: -1.5419

Geometry as CIF:
```
data_Ba3Sm2HoTe6
_chemical_formula_sum 'Ba3 Sm2 Ho1 Te6'
_cell_length_a 7.984
_cell_length_b 7.984
_cell_length_c 8.284
_cell_angle_alpha 99.26
_cell_angle_beta 99.26
_cell_angle_gamma 119.91
_symmetry_space_group_name_H-M 'P 1'
_symmetry_Int_Tables_number 1
_symmetry_space_group_name_Hall 'P 1'
loop_
_atom_site_label
_atom_site_fract_x
_atom_site_fract_y
_atom_site_fract_z
Ba1 0.000 0.000 0.000
Ba2 0.331 0.669 0.000
Ba3 0.669 0.331 0.000
Sm1 0.166 0.834 0.500
Sm2 0.834 0.166 0.500
Ho1 0.500 0.500 0.500
Te1 0.100 0.428 0.282
Te2 0.246 0.246 0.720
Te3 0.428 0.100 0.282
Te4 0.572 0.900 0.718
Te5 0.754 0.754 0.280
Te6 0.900 0.572 0.718
```

=====

(8)
The following is a GGA-PBE calculation of a relaxed structure of Ba3Sm3HoTe8, from Alexandria via LeMat-Bulk.

## Properties
Magnetic moment, μB per formula unit: 0.00
Total DFT energy (no corrections), eV/cell: -72.959
E_form (uncorrected), eV per atom: -1.5548

Geometry as CIF:
```
data_Ba3Sm3HoTe8
_chemical_formula_sum 'Ba3 Sm3 Ho1 Te8'
_cell_length_a 9.595
_cell_length_b 9.595
_cell_length_c 9.595
_cell_angle_alpha 56.60
_cell_angle_beta 56.60
_cell_angle_gamma 56.60
_symmetry_space_group_name_H-M 'P 1'
_symmetry_Int_Tables_number 1
_symmetry_space_group_name_Hall 'P 1'
loop_
_atom_site_label
_atom_site_fract_x
_atom_site_fract_y
_atom_site_fract_z
Ba1 0.000 0.500 0.500
Ba2 0.500 0.000 0.500
Ba3 0.500 0.500 0.000
Sm1 0.000 0.000 0.500
Sm2 0.000 0.500 0.000
Sm3 0.500 0.000 0.000
Ho1 0.500 0.500 0.500
Te1 0.241 0.241 0.241
Te2 0.242 0.738 0.738
Te3 0.262 0.262 0.758
Te4 0.262 0.758 0.262
Te5 0.738 0.242 0.738
Te6 0.738 0.738 0.242
Te7 0.758 0.262 0.262
Te8 0.759 0.759 0.759
```

=====

(9)
The following is a GGA-PBE calculation of a relaxed structure of BaHoSn3, from Alexandria via LeMat-Bulk.

## Properties
Calculated formation energy, eV per atom: -0.555
Magnetic moment, μB per formula unit: 0.00
Total DFT energy (no corrections), eV/cell: -42.564

Geometry as CIF:
```
data_BaHoSn3
_chemical_formula_sum 'Ba2 Ho2 Sn6'
_cell_length_a 15.442
_cell_length_b 15.442
_cell_length_c 4.522
_cell_angle_alpha 90.00
_cell_angle_beta 90.00
_cell_angle_gamma 162.39
_symmetry_space_group_name_H-M 'P 1'
_symmetry_Int_Tables_number 1
_symmetry_space_group_name_Hall 'P 1'
loop_
_atom_site_label
_atom_site_fract_x
_atom_site_fract_y
_atom_site_fract_z
Ba1 0.080 0.920 0.750
Ba2 0.920 0.080 0.250
Ho1 0.204 0.796 0.250
Ho2 0.796 0.204 0.750
Sn1 0.304 0.696 0.250
Sn2 0.368 0.632 0.750
Sn3 0.472 0.528 0.750
Sn4 0.528 0.472 0.250
Sn5 0.632 0.368 0.250
Sn6 0.696 0.304 0.750
```

=====

(10)
The following is a GGA-PBE calculation of a relaxed structure of Ba2HoSnTe5, from Alexandria via LeMat-Bulk.

## Properties
Magnetic moment, μB per formula unit: 0.00
Total DFT energy (no corrections), eV/cell: -78.302
E_form (uncorrected), eV per atom: -1.2240

Geometry as CIF:
```
data_Ba2HoSnTe5
_chemical_formula_sum 'Ba4 Ho2 Sn2 Te10'
_cell_length_a 10.350
_cell_length_b 10.350
_cell_length_c 14.229
_cell_angle_alpha 90.00
_cell_angle_beta 90.00
_cell_angle_gamma 153.63
_symmetry_space_group_name_H-M 'P 1'
_symmetry_Int_Tables_number 1
_symmetry_space_group_name_Hall 'P 1'
loop_
_atom_site_label
_atom_site_fract_x
_atom_site_fract_y
_atom_site_fract_z
Ba1 0.116 0.884 0.500
Ba2 0.134 0.866 0.132
Ba3 0.866 0.134 0.632
Ba4 0.884 0.116 0.000
Ho1 0.210 0.790 0.838
Ho2 0.790 0.210 0.338
Sn1 0.452 0.548 0.263
Sn2 0.548 0.452 0.763
Te1 0.053 0.947 0.885
Te2 0.288 0.712 0.478
Te3 0.315 0.685 0.190
Te4 0.358 0.642 0.818
Te5 0.492 0.508 0.577
Te6 0.508 0.492 0.077
Te7 0.642 0.358 0.318
Te8 0.685 0.315 0.690
Te9 0.712 0.288 0.978
Te10 0.947 0.053 0.385
```

=====

(11)
The following is a GGA-PBE calculation of a relaxed structure of Ba2SrHo, from Alexandria via LeMat-Bulk.

## Properties
Calculated formation energy, eV per atom: 0.175
Energy above the lowest structure with this stoichiometry, meV per atom: 0.0
Magnetic moment, μB per formula unit: 0.00
Total DFT energy (no corrections), eV/cell: -9.405

Geometry as CIF:
```
data_Ba2SrHo
_chemical_formula_sum 'Ba2 Sr1 Ho1'
_cell_length_a 4.431
_cell_length_b 4.431
_cell_length_c 10.314
_cell_angle_alpha 90.00
_cell_angle_beta 90.00
_cell_angle_gamma 90.00
_symmetry_space_group_name_H-M 'P 1'
_symmetry_Int_Tables_number 1
_symmetry_space_group_name_Hall 'P 1'
loop_
_atom_site_label
_atom_site_fract_x
_atom_site_fract_y
_atom_site_fract_z
Ba1 0.000 0.000 0.216
Ba2 0.000 0.000 0.784
Sr1 0.500 0.500 0.500
Ho1 0.500 0.500 0.000
```

=====

(12)
The following is a GGA-PBE calculation of a relaxed structure of Ba2SrHo, from Alexandria via LeMat-Bulk.

## Properties
Calculated formation energy, eV per atom: 0.362
Energy above the lowest structure with this stoichiometry, meV per atom: 187.0
Magnetic moment, μB per formula unit: 0.00
Total DFT energy (no corrections), eV/cell: -25.971

Geometry as CIF:
```
data_Ba2SrHo
_chemical_formula_sum 'Ba6 Sr3 Ho3'
_cell_length_a 3.946
_cell_length_b 3.946
_cell_length_c 43.397
_cell_angle_alpha 90.00
_cell_angle_beta 90.00
_cell_angle_gamma 120.00
_symmetry_space_group_name_H-M 'P 1'
_symmetry_Int_Tables_number 1
_symmetry_space_group_name_Hall 'P 1'
loop_
_atom_site_label
_atom_site_fract_x
_atom_site_fract_y
_atom_site_fract_z
Ba1 0.000 0.000 0.082
Ba2 0.000 0.000 0.918
Ba3 0.333 0.667 0.584
Ba4 0.333 0.667 0.749
Ba5 0.667 0.333 0.251
Ba6 0.667 0.333 0.416
Sr1 0.000 0.000 0.500
Sr2 0.333 0.667 0.167
Sr3 0.667 0.333 0.833
Ho1 0.000 0.000 0.000
Ho2 0.333 0.667 0.667
Ho3 0.667 0.333 0.333
```